[1]
# MgRuBr3 | the Alexandria database | PBE | optimized geometry
data_MgRuBr3
_cell_length_a 5.079
_cell_length_b 5.079
_cell_length_c 5.079
_cell_angle_alpha 90.00
_cell_angle_beta 90.00
_cell_angle_gamma 90.00
_symmetry_space_group_name_H-M 'P m -3 m'
_symmetry_Int_Tables_number 221
_symmetry_space_group_name_Hall '-P 4 2 3'
loop_
_atom_site_label
_atom_site_fract_x
_atom_site_fract_y
_atom_site_fract_z
Mg1 0.000 0.000 0.000
Ru1 0.500 0.500 0.500
Br1 0.000 0.500 0.500
# - formation energy (no corrections) (eV per atom) = 0.007
# - size of the total moment (μB per formula unit) = 0.3

---

[2]
# Mg3RuBr | the Alexandria database | PBE | optimized geometry
data_Mg3RuBr
_cell_length_a 5.031
_cell_length_b 5.031
_cell_length_c 5.031
_cell_angle_alpha 90.00
_cell_angle_beta 90.00
_cell_angle_gamma 90.00
_symmetry_space_group_name_H-M 'P m -3 m'
_symmetry_Int_Tables_number 221
_symmetry_space_group_name_Hall '-P 4 2 3'
loop_
_atom_site_label
_atom_site_fract_x
_atom_site_fract_y
_atom_site_fract_z
Mg1 0.000 0.000 0.500
Ru1 0.000 0.000 0.000
Br1 0.500 0.500 0.500
# - formation energy (no corrections) (eV per atom) = 0.247
# - size of the total moment (μB per formula unit) = 0.0

---

[3]
# MgRuBr2 | the Alexandria database | PBE | optimized geometry
data_MgRuBr2
_cell_length_a 3.454
_cell_length_b 6.107
_cell_length_c 8.309
_cell_angle_alpha 90.00
_cell_angle_beta 90.00
_cell_angle_gamma 90.00
_symmetry_space_group_name_H-M 'I m m m'
_symmetry_Int_Tables_number 71
_symmetry_space_group_name_Hall '-I 2 2'
loop_
_atom_site_label
_atom_site_fract_x
_atom_site_fract_y
_atom_site_fract_z
Mg1 0.000 0.000 0.000
Ru1 0.000 0.000 0.500
Br1 0.000 0.500 0.246
# - formation energy (no corrections) (eV per atom) = 0.213
# - size of the total moment (μB per formula unit) = 1.9

---

[4]
# MgRuBr2 | the Alexandria database | PBE | optimized geometry
data_MgRuBr2
_cell_length_a 4.120
_cell_length_b 3.284
_cell_length_c 7.766
_cell_angle_alpha 90.00
_cell_angle_beta 99.28
_cell_angle_gamma 90.00
_symmetry_space_group_name_H-M 'P 1 m 1'
_symmetry_Int_Tables_number 6
_symmetry_space_group_name_Hall 'P -2y'
loop_
_atom_site_label
_atom_site_fract_x
_atom_site_fract_y
_atom_site_fract_z
Mg1 0.000 0.000 0.000
Ru1 0.461 0.500 0.893
Br1 0.352 0.000 0.658
Br2 0.677 0.500 0.214
# - formation energy (no corrections) (eV per atom) = -0.260
# - size of the total moment (μB per formula unit) = 0.0

---

[5]
# MgRuBr2 | the Alexandria database | PBE | optimized geometry
data_MgRuBr2
_cell_length_a 6.680
_cell_length_b 8.215
_cell_length_c 3.987
_cell_angle_alpha 90.00
_cell_angle_beta 125.73
_cell_angle_gamma 90.00
_symmetry_space_group_name_H-M 'C 1 2/m 1'
_symmetry_Int_Tables_number 12
_symmetry_space_group_name_Hall '-C 2y'
loop_
_atom_site_label
_atom_site_fract_x
_atom_site_fract_y
_atom_site_fract_z
Mg1 0.000 0.000 0.000
Ru1 0.000 0.500 0.000
Br1 0.250 0.250 0.000
# - formation energy (no corrections) (eV per atom) = 0.212
# - size of the total moment (μB per formula unit) = 1.3

---

[6]
# MgRuBr2 | the Alexandria database | PBE | optimized geometry
data_MgRuBr2
_cell_length_a 3.5478
_cell_length_b 3.5478
_cell_length_c 23.3783
_cell_angle_alpha 90.00
_cell_angle_beta 90.00
_cell_angle_gamma 120.00
_symmetry_space_group_name_H-M 'R -3 m'
_symmetry_Int_Tables_number 166
_symmetry_space_group_name_Hall '-R 3 2"'
loop_
_atom_site_label
_atom_site_fract_x
_atom_site_fract_y
_atom_site_fract_z
Mg1 0.0000 0.0000 0.0000
Ru1 0.0000 0.0000 0.5000
Br1 0.0000 0.0000 0.2551
# - formation energy (no corrections) (eV per atom) = 0.213
# - size of the total moment (μB per formula unit) = 2.1

---

[7]
# Mg3RuBr | the Alexandria database | PBE | optimized geometry
data_Mg3RuBr
_cell_length_a 4.916
_cell_length_b 4.916
_cell_length_c 4.916
_cell_angle_alpha 90.00
_cell_angle_beta 90.00
_cell_angle_gamma 90.00
_symmetry_space_group_name_H-M 'P m -3 m'
_symmetry_Int_Tables_number 221
_symmetry_space_group_name_Hall '-P 4 2 3'
loop_
_atom_site_label
_atom_site_fract_x
_atom_site_fract_y
_atom_site_fract_z
Mg1 0.000 0.000 0.500
Ru1 0.500 0.500 0.500
Br1 0.000 0.000 0.000
# - formation energy (no corrections) (eV per atom) = 0.806
# - size of the total moment (μB per formula unit) = 1.0

---

[8]
# MgRuBr | the Alexandria database | PBE | optimized geometry
data_MgRuBr
_cell_length_a 6.205
_cell_length_b 6.205
_cell_length_c 6.205
_cell_angle_alpha 90.00
_cell_angle_beta 90.00
_cell_angle_gamma 90.00
_symmetry_space_group_name_H-M 'F -4 3 m'
_symmetry_Int_Tables_number 216
_symmetry_space_group_name_Hall 'F -4 2 3'
loop_
_atom_site_label
_atom_site_fract_x
_atom_site_fract_y
_atom_site_fract_z
Mg1 0.000 0.000 0.000
Ru1 0.250 0.250 0.250
Br1 0.000 0.000 0.500
# - formation energy (no corrections) (eV per atom) = 0.558
# - size of the total moment (μB per formula unit) = 0.0

---

[9]
# MgRuBr | the Alexandria database | PBE | optimized geometry
data_MgRuBr
_cell_length_a 4.3895
_cell_length_b 4.3895
_cell_length_c 3.2328
_cell_angle_alpha 90.00
_cell_angle_beta 90.00
_cell_angle_gamma 120.00
_symmetry_space_group_name_H-M 'P -6 m 2'
_symmetry_Int_Tables_number 187
_symmetry_space_group_name_Hall 'P -6 2'
loop_
_atom_site_label
_atom_site_fract_x
_atom_site_fract_y
_atom_site_fract_z
Mg1 0.0000 0.0000 0.0000
Ru1 0.3333 0.6667 0.5000
Br1 0.6667 0.3333 0.5000
# - formation energy (no corrections) (eV per atom) = 0.350
# - size of the total moment (μB per formula unit) = 0.0

---

[10]
# MgRuSe2Br | the Alexandria database | PBE | optimized geometry
data_MgRuSe2Br
_cell_length_a 4.848
_cell_length_b 4.848
_cell_length_c 5.195
_cell_angle_alpha 90.00
_cell_angle_beta 90.00
_cell_angle_gamma 90.00
_symmetry_space_group_name_H-M 'P 4/m m m'
_symmetry_Int_Tables_number 123
_symmetry_space_group_name_Hall '-P 4 2'
loop_
_atom_site_label
_atom_site_fract_x
_atom_site_fract_y
_atom_site_fract_z
Mg1 0.000 0.000 0.000
Ru1 0.500 0.500 0.500
Se1 0.000 0.500 0.500
Br1 0.500 0.500 0.000
# - formation energy (no corrections) (eV per atom) = 0.074
# - size of the total moment (μB per formula unit) = 0.0

---

[11]
# Mg2SnRuBr | the Alexandria database | PBE | optimized geometry
data_Mg2SnRuBr
_cell_length_a 4.900
_cell_length_b 4.900
_cell_length_c 5.541
_cell_angle_alpha 90.00
_cell_angle_beta 90.00
_cell_angle_gamma 90.00
_symmetry_space_group_name_H-M 'P 4/m m m'
_symmetry_Int_Tables_number 123
_symmetry_space_group_name_Hall '-P 4 2'
loop_
_atom_site_label
_atom_site_fract_x
_atom_site_fract_y
_atom_site_fract_z
Mg1 0.000 0.500 0.000
Sn1 0.000 0.000 0.500
Ru1 0.500 0.500 0.500
Br1 0.000 0.000 0.000
# - formation energy (no corrections) (eV per atom) = 0.965
# - size of the total moment (μB per formula unit) = 1.9

---

[12]
# MgZn2RuBr | the Alexandria database | PBE | optimized geometry
data_MgZn2RuBr
_cell_length_a 4.830
_cell_length_b 4.830
_cell_length_c 5.200
_cell_angle_alpha 90.00
_cell_angle_beta 90.00
_cell_angle_gamma 90.00
_symmetry_space_group_name_H-M 'P 4/m m m'
_symmetry_Int_Tables_number 123
_symmetry_space_group_name_Hall '-P 4 2'
loop_
_atom_site_label
_atom_site_fract_x
_atom_site_fract_y
_atom_site_fract_z
Mg1 0.000 0.000 0.000
Zn1 0.000 0.500 0.500
Ru1 0.000 0.000 0.500
Br1 0.500 0.500 0.000
# - formation energy (no corrections) (eV per atom) = 0.360
# - size of the total moment (μB per formula unit) = 0.6

---

[13]
# Mg7SBr12 | the Alexandria database | PBE | optimized geometry
data_Mg7SBr12
_cell_length_a 13.9954
_cell_length_b 13.9954
_cell_length_c 9.5054
_cell_angle_alpha 90.00
_cell_angle_beta 90.00
_cell_angle_gamma 120.00
_symmetry_space_group_name_H-M 'R -3'
_symmetry_Int_Tables_number 148
_symmetry_space_group_name_Hall '-R 3'
loop_
_atom_site_label
_atom_site_fract_x
_atom_site_fract_y
_atom_site_fract_z
Mg1 0.0000 0.0000 0.0000
Mg2 0.0505 0.1753 0.3379
S1 0.0000 0.0000 0.5000
Br1 0.0299 0.5844 0.1601
Br2 0.0533 0.1725 0.8283
# - formation energy (no corrections) (eV per atom) = -1.427
# - size of the total moment (μB per formula unit) = 0.0

---

[14]
# Mg3SBr | the Alexandria database | PBE | optimized geometry
data_Mg3SBr
_cell_length_a 5.134
_cell_length_b 5.134
_cell_length_c 5.134
_cell_angle_alpha 90.00
_cell_angle_beta 90.00
_cell_angle_gamma 90.00
_symmetry_space_group_name_H-M 'P m -3 m'
_symmetry_Int_Tables_number 221
_symmetry_space_group_name_Hall '-P 4 2 3'
loop_
_atom_site_label
_atom_site_fract_x
_atom_site_fract_y
_atom_site_fract_z
Mg1 0.000 0.000 0.500
S1 0.000 0.000 0.000
Br1 0.500 0.500 0.500
# - formation energy (no corrections) (eV per atom) = -0.245
# - size of the total moment (μB per formula unit) = 0.0